Entry 1:
# GGA-PBE Ca2LaSi4, relaxed
# SG = No. 71
# Fermi-level density of states = 3.15 states/eV per cell
# final energy = -0.18276 Ha/atom
# formation energy from raw total energies = -0.60 eV per atom
# volume = 158.7 Å³/cell
# crystal system = orthorhombic
data_Ca2LaSi4
_cell_length_a 9.458
_cell_length_b 9.458
_cell_length_c 9.458
_cell_angle_alpha 156.09
_cell_angle_beta 152.39
_cell_angle_gamma 36.84
_space_group_name_H-M_alt 'P 1'
_space_group_IT_number 1
_space_group_name_Hall 'P 1'
loop_
_atom_site_label
_atom_site_fract_x
_atom_site_fract_y
_atom_site_fract_z
Ca1 0.184 0.184 0.000
Ca2 0.816 0.816 0.000
La1 0.000 0.500 0.500
Si1 0.356 0.356 0.000
Si2 0.433 0.933 0.500
Si3 0.567 0.067 0.500
Si4 0.644 0.644 0.000



Entry 2:
# GGA-PBE CaLa2Si, relaxed
# SG = No. 160
# Fermi-level density of states = 4.30 states/eV per cell
# final energy = -0.16078 Ha/atom
# formation energy from raw total energies = -0.06 eV per atom
# volume = 131.9 Å³/cell
# crystal system = trigonal
data_CaLa2Si
_cell_length_a 10.811
_cell_length_b 10.811
_cell_length_c 10.811
_cell_angle_alpha 20.20
_cell_angle_beta 20.20
_cell_angle_gamma 20.20
_space_group_name_H-M_alt 'P 1'
_space_group_IT_number 1
_space_group_name_Hall 'P 1'
loop_
_atom_site_label
_atom_site_fract_x
_atom_site_fract_y
_atom_site_fract_z
Ca1 0.000 0.000 0.000
La1 0.227 0.227 0.227
La2 0.464 0.464 0.464
Si1 0.731 0.731 0.731



Entry 3:
# GGA-PBE CaLa2Si, relaxed
# SG = No. 99
# Fermi-level density of states = 4.46 states/eV per cell
# final energy = -0.16461 Ha/atom
# formation energy from raw total energies = -0.16 eV per atom
# volume = 121.8 Å³/cell
# crystal system = tetragonal
data_CaLa2Si
_cell_length_a 4.027
_cell_length_b 4.027
_cell_length_c 7.512
_cell_angle_alpha 90.00
_cell_angle_beta 90.00
_cell_angle_gamma 90.00
_space_group_name_H-M_alt 'P 1'
_space_group_IT_number 1
_space_group_name_Hall 'P 1'
loop_
_atom_site_label
_atom_site_fract_x
_atom_site_fract_y
_atom_site_fract_z
Ca1 0.000 0.000 0.000
La1 0.000 0.000 0.581
La2 0.500 0.500 0.349
Si1 0.500 0.500 0.763



Entry 4:
# GGA-PBE CaLa2Si, relaxed
# SG = No. 123
# Fermi-level density of states = 4.70 states/eV per cell
# final energy = -0.16617 Ha/atom
# formation energy from raw total energies = -0.20 eV per atom
# volume = 115.0 Å³/cell
# crystal system = tetragonal
data_CaLa2Si
_cell_length_a 4.891
_cell_length_b 4.891
_cell_length_c 4.808
_cell_angle_alpha 90.00
_cell_angle_beta 90.00
_cell_angle_gamma 90.00
_space_group_name_H-M_alt 'P 1'
_space_group_IT_number 1
_space_group_name_Hall 'P 1'
loop_
_atom_site_label
_atom_site_fract_x
_atom_site_fract_y
_atom_site_fract_z
Ca1 0.000 0.000 0.000
La1 0.000 0.500 0.500
La2 0.500 0.000 0.500
Si1 0.500 0.500 0.000



Entry 5:
# GGA-PBE Ca3LaSi, relaxed
# SG = No. 221
# Fermi-level density of states = 5.41 states/eV per cell
# distance to the lowest polymorph of the same formula = 0 meV/atom
# final energy = -0.11873 Ha/atom
# formation energy from raw total energies = 0.04 eV per atom
# volume = 187.8 Å³/cell
# crystal system = cubic
data_Ca3LaSi
_cell_length_a 5.727
_cell_length_b 5.727
_cell_length_c 5.727
_cell_angle_alpha 90.00
_cell_angle_beta 90.00
_cell_angle_gamma 90.00
_space_group_name_H-M_alt 'P 1'
_space_group_IT_number 1
_space_group_name_Hall 'P 1'
loop_
_atom_site_label
_atom_site_fract_x
_atom_site_fract_y
_atom_site_fract_z
Ca1 0.000 0.000 0.500
Ca2 0.000 0.500 0.000
Ca3 0.500 0.000 0.000
La1 0.500 0.500 0.500
Si1 0.000 0.000 0.000



Entry 6:
# GGA-PBE Ca2LaSi2, relaxed
# SG = No. 139
# Fermi-level density of states = 3.50 states/eV per cell
# distance to the lowest polymorph of the same formula = 433 meV/atom
# final energy = -0.14495 Ha/atom
# formation energy from raw total energies = 0.01 eV per atom
# volume = 147.1 Å³/cell
# crystal system = tetragonal
data_Ca2LaSi2
_cell_length_a 6.431
_cell_length_b 6.431
_cell_length_c 6.431
_cell_angle_alpha 131.27
_cell_angle_beta 131.27
_cell_angle_gamma 71.38
_space_group_name_H-M_alt 'P 1'
_space_group_IT_number 1
_space_group_name_Hall 'P 1'
loop_
_atom_site_label
_atom_site_fract_x
_atom_site_fract_y
_atom_site_fract_z
Ca1 0.158 0.158 0.000
Ca2 0.842 0.842 0.000
La1 0.500 0.500 0.000
Si1 0.250 0.750 0.500
Si2 0.750 0.250 0.500